[1]
The following is a PBE calculation of an optimized crystal structure of SrNiSe2Br, from the Alexandria database.

Calculated values
V: 23.70 Å³/atom
Energy above the lowest structure with this stoichiometry: 0.000 eV/atom
Fermi-level density of states: 4.3 states/eV per cell
Formation energy from raw total energies: -0.82 eV per atom
Raw total energy: -20.18 eV for the cell shown

Cell lengths 4.8275, 4.8275, 5.0849 Å; angles 90.00, 90.00, 90.00 degrees
Space group P4/mmm (No. 123)
Unique sites:
Sr1 0.0000 0.0000 0.0000 (multiplicity 1)
Ni1 0.5000 0.5000 0.5000 (multiplicity 1)
Se1 0.0000 0.5000 0.5000 (multiplicity 2)
Br1 0.5000 0.5000 0.0000 (multiplicity 1)

=====

[2]
The following is a PBE calculation of an optimized crystal structure of LiCd4Rh, from the Alexandria database.

Calculated values
Energy of formation from the pure elements: -1.1 eV per formula unit
V: 18.75 Å³/atom
Energy above the lowest structure with this stoichiometry: 0.000 eV/atom
Fermi-level density of states: 2.6 states/eV per cell
Raw total energy: -14.02 eV for the cell shown

Cell lengths 4.3603, 4.4030, 6.2459 Å; angles 90.00, 110.28, 90.00 degrees
Space group P2/m (No. 10)
Unique sites:
Li1 0.0000 0.0000 0.0000 (multiplicity 1)
Cd1 0.1514 0.5000 0.3043 (multiplicity 2)
Cd2 0.3507 0.0000 0.6984 (multiplicity 2)
Rh1 0.5000 0.5000 0.0000 (multiplicity 1)

=====

[3]
The following is a PBE calculation of an optimized crystal structure of Pm2Ge3Os, from the Alexandria database.

Calculated values
Energy of formation from the pure elements: -3.3 eV per formula unit
V: 22.01 Å³/atom
Fermi-level density of states: 36.0 states/eV per cell
Raw total energy: -302.73 eV for the cell shown

Cell lengths 8.3030, 8.6159, 14.7699 Å; angles 90.00, 90.00, 90.00 degrees
Space group Fmmm (No. 69)
Unique sites:
Pm1 0.2408 0.0000 0.0000 (multiplicity 8)
Pm2 0.2500 0.2500 0.2500 (multiplicity 8)
Ge1 0.0000 0.0000 0.3291 (multiplicity 8)
Ge2 0.0000 0.2473 0.0852 (multiplicity 16)
Os1 0.0000 0.0000 0.1647 (multiplicity 8)

=====

[4]
The following is a PBE calculation of an optimized crystal structure of K4Er3NpTe8, from the Alexandria database.

Calculated values
V: 36.04 Å³/atom
Fermi-level density of states: 12.7 states/eV per cell
Formation energy from raw total energies: -1.25 eV per atom
Raw total energy: -152.39 eV for the cell shown

Cell lengths 15.5886, 8.9866, 9.7434 Å; angles 90.00, 122.33, 90.00 degrees
Space group C2/m (No. 12)
Unique sites:
K1 0.0000 0.0000 0.0000 (multiplicity 2)
K2 0.0000 0.5000 0.0000 (multiplicity 2)
K3 0.2500 0.2500 0.0000 (multiplicity 4)
Er1 0.0000 0.0000 0.5000 (multiplicity 2)
Er2 0.2500 0.2500 0.5000 (multiplicity 4)
Np1 0.0000 0.5000 0.5000 (multiplicity 2)
Te1 0.0154 0.2456 0.2915 (multiplicity 8)
Te2 0.2355 0.0000 0.7064 (multiplicity 4)
Te3 0.2390 0.5000 0.7081 (multiplicity 4)